This record from the Alexandria database describes a relaxed Zr2HgIr crystal. The functional is PBE.

Cell and atoms, written as CIF:
```
data_Zr2HgIr
_chemical_formula_sum 'Zr6 Hg3 Ir3'
_space_group_name_H-M_alt 'R -3 m'
_space_group_IT_number 166
_space_group_name_Hall '-R 3 2"'
_cell_length_a 3.6535
_cell_length_b 3.6535
_cell_length_c 23.3814
_cell_angle_alpha 90.00
_cell_angle_beta 90.00
_cell_angle_gamma 120.00
loop_
_atom_site_label
_atom_site_type_symbol
_atom_site_fract_x
_atom_site_fract_y
_atom_site_fract_z
_atom_site_occupancy
Zr1 Zr 0.0000 0.0000 0.2361 1
Hg1 Hg 0.0000 0.0000 0.0000 1
Ir1 Ir 0.0000 0.0000 0.5000 1
```

Output
Final energy in eV per atom: -6.88
ΔE_f in eV per atom: -0.32

***

This record from the Alexandria database describes a relaxed Zr3HgIr crystal. The functional is PBE.

Cell and atoms, written as CIF:
```
data_Zr3HgIr
_chemical_formula_sum 'Zr3 Hg1 Ir1'
_space_group_name_H-M_alt 'P m -3 m'
_space_group_IT_number 221
_space_group_name_Hall '-P 4 2 3'
_cell_length_a 5.070
_cell_length_b 5.070
_cell_length_c 5.070
_cell_angle_alpha 90.00
_cell_angle_beta 90.00
_cell_angle_gamma 90.00
loop_
_atom_site_label
_atom_site_type_symbol
_atom_site_fract_x
_atom_site_fract_y
_atom_site_fract_z
_atom_site_occupancy
Zr1 Zr 0.000 0.000 0.500 1
Hg1 Hg 0.500 0.500 0.500 1
Ir1 Ir 0.000 0.000 0.000 1
```

Output
Offset from the most stable computed form in eV/atom: 0.0000
Final energy in eV per atom: -6.83
ΔE_f in eV per atom: 0.13

***

This record from the Alexandria database describes a relaxed ZrHgIr crystal. The functional is PBE.

Cell and atoms, written as CIF:
```
data_ZrHgIr
_chemical_formula_sum 'Zr4 Hg4 Ir4'
_space_group_name_H-M_alt 'C 1 2/m 1'
_space_group_IT_number 12
_cell_length_a 12.909
_cell_length_b 3.734
_cell_length_c 5.364
_cell_angle_alpha 90.00
_cell_angle_beta 102.44
_cell_angle_gamma 90.00
loop_
_space_group_symop_operation_xyz
'x,y,z'
'-x,-y,-z'
'-x,y,-z'
'x,-y,z'
'x+1/2,y+1/2,z'
'-x+1/2,-y+1/2,-z'
'-x+1/2,y+1/2,-z'
'x+1/2,-y+1/2,z'
loop_
_atom_site_label
_atom_site_type_symbol
_atom_site_fract_x
_atom_site_fract_y
_atom_site_fract_z
_atom_site_occupancy
Zr1 Zr 0.147 0.000 0.337 1
Hg1 Hg 0.059 0.500 0.780 1
Ir1 Ir 0.236 0.000 0.823 1
```

Output
Offset from the most stable computed form in eV/atom: 0.0245
Final energy in eV per atom: -6.25
ΔE_f in eV per atom: -0.34

***

This record from the Alexandria database describes a relaxed Zr2HgIr crystal. The functional is PBE.

Cell and atoms, written as CIF:
```
data_Zr2HgIr
_chemical_formula_sum 'Zr2 Hg1 Ir1'
_space_group_name_H-M_alt 'P 1 2/m 1'
_space_group_IT_number 10
_cell_length_a 3.360
_cell_length_b 3.302
_cell_length_c 7.223
_cell_angle_alpha 90.00
_cell_angle_beta 90.14
_cell_angle_gamma 90.00
loop_
_space_group_symop_operation_xyz
'x,y,z'
'-x,-y,-z'
'-x,y,-z'
'x,-y,z'
loop_
_atom_site_label
_atom_site_type_symbol
_atom_site_fract_x
_atom_site_fract_y
_atom_site_fract_z
_atom_site_occupancy
Zr1 Zr 0.002 0.000 0.277 1
Hg1 Hg 0.500 0.500 0.000 1
Ir1 Ir 0.500 0.500 0.500 1
```

Output
Final energy in eV per atom: -7.03
ΔE_f in eV per atom: -0.47

***

This record from the Alexandria database describes a relaxed Zr2HgIr crystal. The functional is PBE.

Cell and atoms, written as CIF:
```
data_Zr2HgIr
_chemical_formula_sum 'Zr2 Hg1 Ir1'
_space_group_name_H-M_alt 'P 4/m m m'
_space_group_IT_number 123
_space_group_name_Hall '-P 4 2'
_cell_length_a 4.817
_cell_length_b 4.817
_cell_length_c 3.421
_cell_angle_alpha 90.00
_cell_angle_beta 90.00
_cell_angle_gamma 90.00
loop_
_atom_site_label
_atom_site_type_symbol
_atom_site_fract_x
_atom_site_fract_y
_atom_site_fract_z
_atom_site_occupancy
Zr1 Zr 0.000 0.500 0.000 1
Hg1 Hg 0.000 0.000 0.500 1
Ir1 Ir 0.500 0.500 0.500 1
```

Output
Final energy in eV per atom: -6.93
ΔE_f in eV per atom: -0.37

***

This record from the Alexandria database describes a relaxed ZrHgIr crystal. The functional is PBE.

Cell and atoms, written as CIF:
```
data_ZrHgIr
_chemical_formula_sum 'Zr2 Hg2 Ir2'
_space_group_name_H-M_alt 'I 4 m m'
_space_group_IT_number 107
_space_group_name_Hall 'I 4 -2'
_cell_length_a 3.537
_cell_length_b 3.537
_cell_length_c 9.211
_cell_angle_alpha 90.00
_cell_angle_beta 90.00
_cell_angle_gamma 90.00
loop_
_atom_site_label
_atom_site_type_symbol
_atom_site_fract_x
_atom_site_fract_y
_atom_site_fract_z
_atom_site_occupancy
Zr1 Zr 0.000 0.000 0.000 1
Hg1 Hg 0.000 0.000 0.686 1
Ir1 Ir 0.000 0.000 0.365 1
```

Output
Offset from the most stable computed form in eV/atom: 0.0000
Final energy in eV per atom: -6.27
ΔE_f in eV per atom: -0.37

***

This record from the Alexandria database describes a relaxed Zr2HgIr crystal. The functional is PBE.

Cell and atoms, written as CIF:
```
data_Zr2HgIr
_chemical_formula_sum 'Zr4 Hg2 Ir2'
_space_group_name_H-M_alt 'I m m 2'
_space_group_IT_number 44
_cell_length_a 3.385
_cell_length_b 4.700
_cell_length_c 10.276
_cell_angle_alpha 90.00
_cell_angle_beta 90.00
_cell_angle_gamma 90.00
loop_
_space_group_symop_operation_xyz
'x,y,z'
'-x,-y,z'
'-x,y,z'
'x,-y,z'
'x+1/2,y+1/2,z+1/2'
'-x+1/2,-y+1/2,z+1/2'
'-x+1/2,y+1/2,z+1/2'
'x+1/2,-y+1/2,z+1/2'
loop_
_atom_site_label
_atom_site_type_symbol
_atom_site_fract_x
_atom_site_fract_y
_atom_site_fract_z
_atom_site_occupancy
Zr1 Zr 0.000 0.000 0.000 1
Zr2 Zr 0.000 0.500 0.220 1
Hg1 Hg 0.000 0.500 0.783 1
Ir1 Ir 0.000 0.000 0.515 1
```

Output
Final energy in eV per atom: -6.89
ΔE_f in eV per atom: -0.32

***

This record from the Alexandria database describes a relaxed ZrHgIr crystal. The functional is PBE.

Cell and atoms, written as CIF:
```
data_ZrHgIr
_chemical_formula_sum 'Zr4 Hg4 Ir4'
_space_group_name_H-M_alt 'F -4 3 m'
_space_group_IT_number 216
_space_group_name_Hall 'F -4 2 3'
_cell_length_a 6.428
_cell_length_b 6.428
_cell_length_c 6.428
_cell_angle_alpha 90.00
_cell_angle_beta 90.00
_cell_angle_gamma 90.00
loop_
_atom_site_label
_atom_site_type_symbol
_atom_site_fract_x
_atom_site_fract_y
_atom_site_fract_z
_atom_site_occupancy
Zr1 Zr 0.000 0.000 0.000 1
Hg1 Hg 0.000 0.000 0.500 1
Ir1 Ir 0.250 0.250 0.750 1
```

Output
Offset from the most stable computed form in eV/atom: 0.1807
Final energy in eV per atom: -6.09
ΔE_f in eV per atom: -0.19

***

This record from the Alexandria database describes a relaxed KHg4 crystal. The functional is PBE.

Cell and atoms, written as CIF:
```
data_KHg4
_chemical_formula_sum 'K1 Hg4'
_space_group_name_H-M_alt 'P -1'
_space_group_IT_number 2
_cell_length_a 3.756
_cell_length_b 5.420
_cell_length_c 8.027
_cell_angle_alpha 72.01
_cell_angle_beta 76.56
_cell_angle_gamma 89.85
loop_
_space_group_symop_operation_xyz
'x,y,z'
'-x,-y,-z'
loop_
_atom_site_label
_atom_site_type_symbol
_atom_site_fract_x
_atom_site_fract_y
_atom_site_fract_z
_atom_site_occupancy
K1 K 0.000 0.000 0.000 1
Hg1 Hg 0.287 0.791 0.428 1
Hg2 Hg 0.391 0.394 0.216 1
```

Output
Offset from the most stable computed form in eV/atom: 0.0073
Final energy in eV per atom: -0.63
ΔE_f in eV per atom: -0.17

***

This record from the Alexandria database describes a relaxed K23Hg6 crystal. The functional is PBE.

Cell and atoms, written as CIF:
```
data_K23Hg6
_chemical_formula_sum 'K92 Hg24'
_space_group_name_H-M_alt 'F m -3 m'
_space_group_IT_number 225
_space_group_name_Hall '-F 4 2 3'
_cell_length_a 18.675
_cell_length_b 18.675
_cell_length_c 18.675
_cell_angle_alpha 90.00
_cell_angle_beta 90.00
_cell_angle_gamma 90.00
loop_
_atom_site_label
_atom_site_type_symbol
_atom_site_fract_x
_atom_site_fract_y
_atom_site_fract_z
_atom_site_occupancy
K1 K 0.000 0.000 0.000 1
K2 K 0.000 0.170 0.170 1
K3 K 0.113 0.113 0.387 1
K4 K 0.250 0.250 0.250 1
Hg1 Hg 0.000 0.000 0.265 1
```

Output
Final energy in eV per atom: -1.04
ΔE_f in eV per atom: -0.11

***

This record from the Alexandria database describes a relaxed KHg crystal. The functional is PBE.

Cell and atoms, written as CIF:
```
data_KHg
_chemical_formula_sum 'K6 Hg6'
_space_group_name_H-M_alt 'P m -3 n'
_space_group_IT_number 223
_space_group_name_Hall '-P 4n 2 3'
_cell_length_a 9.772
_cell_length_b 9.772
_cell_length_c 9.772
_cell_angle_alpha 90.00
_cell_angle_beta 90.00
_cell_angle_gamma 90.00
loop_
_atom_site_label
_atom_site_type_symbol
_atom_site_fract_x
_atom_site_fract_y
_atom_site_fract_z
_atom_site_occupancy
K1 K 0.000 0.250 0.500 1
Hg1 Hg 0.000 0.500 0.250 1
```

Output
Final energy in eV per atom: -0.60
ΔE_f in eV per atom: 0.10

***

This record from the Alexandria database describes a relaxed KHg8 crystal. The functional is PBE.

Cell and atoms, written as CIF:
```
data_KHg8
_chemical_formula_sum 'K2 Hg16'
_space_group_name_H-M_alt 'I 4/m m m'
_space_group_IT_number 139
_space_group_name_Hall '-I 4 2'
_cell_length_a 10.456
_cell_length_b 10.456
_cell_length_c 4.899
_cell_angle_alpha 90.00
_cell_angle_beta 90.00
_cell_angle_gamma 90.00
loop_
_atom_site_label
_atom_site_type_symbol
_atom_site_fract_x
_atom_site_fract_y
_atom_site_fract_z
_atom_site_occupancy
K1 K 0.000 0.000 0.000 1
Hg1 Hg 0.000 0.340 0.000 1
Hg2 Hg 0.174 0.174 0.500 1
```

Output
Final energy in eV per atom: -0.51
ΔE_f in eV per atom: -0.12